This record from Alexandria via LeMat-Bulk describes an optimized crystal structure of YZr2Zn. The functional is PBEsol.

Output
energy relative to the elements	31	kJ/mol of formula units
total DFT energy (no corrections)	-6.565	eV per atom

Cell lengths 4.9319, 4.9319, 4.9319 Å; angles 60.00, 60.00, 60.00 degrees
Sites, in units of the cell vectors:
Y 0.5000 0.5000 0.5000
Zn 0.2500 0.2500 0.2500
Zr 0.0000 0.0000 0.0000
Zr 0.7500 0.7500 0.7500

***

This record from Alexandria via LeMat-Bulk describes an optimized crystal structure of MgCdHg2. The functional is PBEsol.

Output
energy relative to the elements	-55	kJ/mol of formula units
total DFT energy (no corrections)	-1.155	eV per atom

Cell lengths 3.4419, 5.0255, 5.0255 Å; angles 102.74, 90.00, 90.00 degrees
Sites, in units of the cell vectors:
Mg 0.5000 0.0000 0.0000
Hg 0.0000 0.5000 0.0000
Hg 0.0000 0.0000 0.5000
Cd 0.5000 0.5000 0.5000

***

This record from Alexandria via LeMat-Bulk describes an optimized crystal structure of Zn3TeAs2Pb3O14. The functional is PBEsol.

Output
E_form (uncorrected)	-127.5	kJ per mole of atoms
total DFT energy (no corrections)	-5.842	eV per atom

Cell lengths 5.2368, 8.5347, 8.5347 Å; angles 120.00, 90.00, 90.00 degrees
Sites, in units of the cell vectors:
Zn 0.5000 0.7592 0.7592
Zn 0.5000 0.2408 0.0000
Zn 0.5000 0.0000 0.2408
Te 0.0000 0.0000 0.0000
As 0.4525 0.6667 0.3333
As 0.5475 0.3333 0.6667
Pb 0.0000 0.4019 0.4019
Pb 0.0000 0.5981 0.0000
Pb 0.0000 0.0000 0.5981
O 0.3180 0.4609 0.1833
O 0.6820 0.5391 0.7225
O 0.7858 0.8737 0.0870
O 0.3180 0.7225 0.5391
O 0.7858 0.9130 0.7866
O 0.2142 0.0870 0.8737
O 0.2232 0.3333 0.6667
O 0.2142 0.1263 0.2134
O 0.3180 0.8167 0.2775
O 0.7858 0.2134 0.1263
O 0.7768 0.6667 0.3333
O 0.2142 0.7866 0.9130
O 0.6820 0.1833 0.4609
O 0.6820 0.2775 0.8167

***

This record from Alexandria via LeMat-Bulk describes an optimized crystal structure of YHgPb2. The functional is PBEsol.

Output
energy relative to the elements	-110	kJ/mol of formula units
total DFT energy (no corrections)	-4.132	eV per atom

Cell lengths 3.5975, 4.3836, 6.6623 Å; angles 90.00, 90.00, 90.00 degrees
Sites, in units of the cell vectors:
Pb 0.0000 0.0000 0.9903
Pb 0.5000 0.5000 0.2593
Y 0.0000 0.0000 0.5037
Hg 0.5000 0.5000 0.7468

***

This record from Alexandria via LeMat-Bulk describes an optimized crystal structure of NbRe3Si. The functional is PBEsol.

Output
E_form (uncorrected)	89.2	kJ per mole of atoms
total DFT energy (no corrections)	-10.388	eV per atom

Cell lengths 4.3534, 4.3534, 4.3534 Å; angles 90.00, 90.00, 90.00 degrees
Sites, in units of the cell vectors:
Re 0.0000 0.5000 0.0000
Re 0.0000 0.0000 0.5000
Re 0.5000 0.0000 0.0000
Nb 0.5000 0.5000 0.5000
Si 0.0000 0.0000 0.0000

***

This record from Alexandria via LeMat-Bulk describes an optimized crystal structure of AlRuRh2. The functional is PBEsol.

Output
energy relative to the elements	-92	kJ/mol of formula units
total DFT energy (no corrections)	-7.873	eV per atom

Cell lengths 2.7821, 4.4282, 4.4282 Å; angles 90.00, 90.00, 90.00 degrees
Sites, in units of the cell vectors:
Ru 0.5000 0.5000 0.5000
Rh 0.0000 0.0000 0.5000
Rh 0.0000 0.5000 0.0000
Al 0.5000 0.0000 0.0000